[1]
Entry from the Alexandria database: Al2Si2Pb at its PBEsol-relaxed geometry (meta-GGA SCAN).

a = 4.452 Å, b = 4.452 Å, c = 5.831 Å
α = 112.44°, β = 112.44°, γ = 90.00°
Fractional positions:
1 Al 0.250 0.750 0.500
2 Al 0.750 0.250 0.500
3 Pb 0.000 0.000 0.000
4 Si 0.620 0.620 0.239
5 Si 0.380 0.380 0.761

**Energy relative to the elements, uncorrected**: 0.22 eV/atom

[2]
Entry from the Alexandria database: LaSi3As at its PBEsol-relaxed geometry (meta-GGA SCAN).

a = 4.797 Å, b = 4.797 Å, c = 4.797 Å
α = 90.00°, β = 90.00°, γ = 90.00°
Fractional positions:
1 Si 0.000 0.000 0.500
2 Si 0.000 0.500 0.000
3 Si 0.500 0.000 0.000
4 La 0.500 0.500 0.500
5 As 0.000 0.000 0.000

**Energy relative to the elements, uncorrected**: 0.43 eV/atom

Q: Which formula does entry 2 have?
A: LaSi3As